The following is a DFT calculation (PBE) of a relaxed structure of Rb2BeF4.

a b c (Å): 5.871 5.940 7.982
angles (deg): 90.00 105.83 90.00
Fractional coordinates of all 14 atoms:
Rb (0.205, 0.250, 0.442)
Rb (0.294, 0.250, 0.974)
Rb (0.706, 0.750, 0.026)
Rb (0.795, 0.750, 0.558)
Be (0.293, 0.750, 0.224)
Be (0.707, 0.250, 0.776)
F (0.097, 0.750, 0.324)
F (0.182, 0.750, 0.020)
F (0.455, 0.536, 0.271)
F (0.455, 0.964, 0.271)
F (0.545, 0.036, 0.729)
F (0.545, 0.464, 0.729)
F (0.818, 0.250, 0.980)
F (0.903, 0.250, 0.676)

## Properties
* formation energy from raw total energies: -3.05 eV/atom
* uncorrected energy: -4.93 eV/atom
* density of states at the Fermi level: 0.00 states/eV/atom